AlZn2Ni5Ge2 | PBE | optimized geometry

a b c (Å): 9.414 9.414 2.985
angles (deg): 90.00 90.00 90.00
Sites, in units of the cell vectors:
Al 0.000 0.000 0.000
Al 0.500 0.500 0.000
Zn 0.162 0.338 0.000
Zn 0.338 0.838 0.000
Zn 0.662 0.162 0.000
Zn 0.838 0.662 0.000
Ni 0.000 0.500 0.500
Ni 0.013 0.793 0.500
Ni 0.207 0.013 0.500
Ni 0.293 0.513 0.500
Ni 0.487 0.293 0.500
Ni 0.500 0.000 0.500
Ni 0.513 0.707 0.500
Ni 0.707 0.487 0.500
Ni 0.793 0.987 0.500
Ni 0.987 0.207 0.500
Ge 0.146 0.646 0.000
Ge 0.354 0.146 0.000
Ge 0.646 0.854 0.000
Ge 0.854 0.354 0.000

## Properties
- space-group type = P4/mbm (127)
- formation energy (eV/atom) = -0.175
- DFT total energy (eV per cell) = -92.4
- crystal system = tetragonal